# PBE ReMoPt, optimized geometry
data_ReMoPt
_chemical_formula_sum 'Re1 Mo1 Pt1'
_symmetry_space_group_name_H-M 'P 1'
_symmetry_Int_Tables_number 1
_cell_length_a 4.262
_cell_length_b 4.262
_cell_length_c 4.262
_cell_angle_alpha 60.00
_cell_angle_beta 60.00
_cell_angle_gamma 60.00
loop_
_symmetry_equiv_pos_as_xyz
'x,y,z'
loop_
_atom_site_label
_atom_site_type_symbol
_atom_site_fract_x
_atom_site_fract_y
_atom_site_fract_z
Re1 Re 0.750 0.750 0.750
Mo1 Mo 0.000 0.000 0.000
Pt1 Pt 0.500 0.500 0.500
# Electronic total energy in eV/atom: -9.304